! ZrCo2Cl2 (PBE, optimized geometry); values from VASP
&SYSTEM
  ibrav = 0, nat = 10, ntyp = 3
/
ATOMIC_SPECIES
Zr 91.22 Zr.upf
Co 58.93 Co.upf
Cl 35.45 Cl.upf
CELL_PARAMETERS angstrom
6.957 0.000 0.000
0.000 6.957 0.000
0.000 0.000 3.085
ATOMIC_POSITIONS crystal
Zr 0.000 0.000 0.000
Zr 0.500 0.500 0.000
Co 0.142 0.358 0.500
Co 0.358 0.858 0.500
Co 0.642 0.142 0.500
Co 0.858 0.642 0.500
Cl 0.171 0.671 0.000
Cl 0.329 0.171 0.000
Cl 0.671 0.829 0.000
Cl 0.829 0.329 0.000
! Symmetry: No. 127
! Energy relative to the elements, uncorrected: 0.25 eV per atom
! Polymorph energy (0 for the lowest one): 0.000 eV/atom